(1)
Compound: TmTlCuF6
Source: Alexandria
Functional: GGA-PBE
Structure: optimized geometry

Unit cell a=5.644 b=5.644 c=5.968 alpha=89.03 beta=90.97 gamma=62.92
Each line ends with the local moment (μB).
Element x y z (fractional)
F 0.375 0.019 0.665  0.06
F 0.643 0.973 0.271  0.00
F 0.363 0.612 0.319  0.07
F 0.973 0.643 0.729  0.00
F 0.612 0.363 0.681  0.07
F 0.019 0.375 0.335  0.06
Cu 0.336 0.336 0.500  0.72
Tl 0.004 0.004 0.000  0.01
Tm 0.674 0.674 0.500  0.00

Calculated values
V	18.80	Å³/atom
energy relative to the elements, uncorrected	-2.7326	eV per atom
size of the total moment	1.004	Bohr magnetons per cell


(2)
Compound: Zr3Au
Source: Alexandria
Functional: GGA-PBE
Structure: optimized geometry

Unit cell a=3.254 b=3.254 c=8.208 alpha=90.00 beta=90.00 gamma=90.00
Element x y z (fractional)
Zr 0.500 0.500 0.236
Zr 0.500 0.500 0.764
Zr 0.000 0.000 0.500
Au 0.000 0.000 0.000

Calculated values
formation energy from the elements	-1.2	eV/f.u.
V	21.72	Å³/atom
size of the total moment	0.000	Bohr magnetons per cell


(3)
Compound: Fe4W5
Source: Alexandria
Functional: GGA-PBE
Structure: optimized geometry

Unit cell a=7.595 b=7.595 c=5.001 alpha=90.00 beta=90.00 gamma=60.00
Each line ends with the local moment (μB).
Element x y z (fractional)
Fe 0.000 0.607 0.250  0.80
Fe 0.393 0.607 0.750  0.80
Fe 0.607 0.393 0.250  0.80
Fe 0.607 0.000 0.750  0.80
Fe 0.393 0.000 0.250  0.80
Fe 0.000 0.393 0.750  0.80
Fe 0.000 0.000 0.000  0.76
Fe 0.000 0.000 0.500  0.76
W 0.000 0.716 0.750  -0.11
W 0.333 0.333 0.500  0.01
W 0.716 0.000 0.250  -0.11
W 0.333 0.333 0.000  0.01
W 0.284 0.000 0.750  -0.11
W 0.667 0.667 0.500  0.01
W 0.716 0.284 0.750  -0.11
W 0.000 0.284 0.250  -0.11
W 0.284 0.716 0.250  -0.11
W 0.667 0.667 0.000  0.01

Calculated values
formation energy from the elements	2.6	eV/f.u.
V	13.88	Å³/atom
size of the total moment	5.684	Bohr magnetons per cell


(4)
Compound: SmSb2Pd4
Source: Alexandria
Functional: GGA-PBE
Structure: optimized geometry

Unit cell a=4.561 b=7.256 c=17.117 alpha=90.00 beta=90.00 gamma=90.00
Element x y z (fractional)
Pd 0.250 0.220 0.704
Pd 0.750 0.136 0.816
Pd 0.750 0.950 0.062
Pd 0.250 0.385 0.034
Pd 0.750 0.364 0.316
Pd 0.250 0.050 0.938
Pd 0.250 0.864 0.184
Pd 0.250 0.450 0.438
Pd 0.250 0.115 0.534
Pd 0.750 0.615 0.966
Pd 0.750 0.720 0.796
Pd 0.750 0.885 0.466
Pd 0.750 0.550 0.562
Pd 0.750 0.780 0.296
Pd 0.250 0.636 0.684
Pd 0.250 0.280 0.204
Sb 0.250 0.747 0.532
Sb 0.750 0.080 0.208
Sb 0.750 0.247 0.968
Sb 0.750 0.253 0.468
Sb 0.250 0.920 0.792
Sb 0.250 0.753 0.032
Sb 0.750 0.420 0.708
Sb 0.250 0.580 0.292
Sm 0.250 0.043 0.356
Sm 0.750 0.543 0.144
Sm 0.750 0.957 0.644
Sm 0.250 0.457 0.856

Calculated values
V	20.23	Å³/atom
energy relative to the elements, uncorrected	-0.6812	eV per atom
size of the total moment	0.000	Bohr magnetons per cell


> Among the records above, which one has the highest size of the total moment?

Fe4W5


Please write out number 3 again, unchanged.
Compound: Fe4W5
Source: Alexandria
Functional: GGA-PBE
Structure: optimized geometry

Unit cell a=7.595 b=7.595 c=5.001 alpha=90.00 beta=90.00 gamma=60.00
Each line ends with the local moment (μB).
Element x y z (fractional)
Fe 0.000 0.607 0.250  0.80
Fe 0.393 0.607 0.750  0.80
Fe 0.607 0.393 0.250  0.80
Fe 0.607 0.000 0.750  0.80
Fe 0.393 0.000 0.250  0.80
Fe 0.000 0.393 0.750  0.80
Fe 0.000 0.000 0.000  0.76
Fe 0.000 0.000 0.500  0.76
W 0.000 0.716 0.750  -0.11
W 0.333 0.333 0.500  0.01
W 0.716 0.000 0.250  -0.11
W 0.333 0.333 0.000  0.01
W 0.284 0.000 0.750  -0.11
W 0.667 0.667 0.500  0.01
W 0.716 0.284 0.750  -0.11
W 0.000 0.284 0.250  -0.11
W 0.284 0.716 0.250  -0.11
W 0.667 0.667 0.000  0.01

Calculated values
formation energy from the elements	2.6	eV/f.u.
V	13.88	Å³/atom
size of the total moment	5.684	Bohr magnetons per cell


> V of number 1 (TmTlCuF6)?

18.80 Å³/atom